1.
## TmNp3Ga12 (PBE-GGA)

Data for crystalline TmNp3Ga12 at its relaxed geometry.

Results
As for the density of states at the Fermi level: 1.65 states/eV/atom. The total moment comes out at 11.50 Bohr magnetons per cell. The energy of formation from the pure elements comes out at -281.6 meV/atom. The uncorrected energy is -5.26 eV/atom.

abc: 4.2477 4.2477 17.0904
angles: 90.00 90.00 90.00
Each line ends with the local moment (μB).
Positions (direct):
Np (0.0000, 0.0000, 0.5000)  3.61
Np (0.0000, 0.0000, 0.7518)  3.60
Np (0.0000, 0.0000, 0.2482)  3.60
Ga (0.5000, 0.5000, 0.5000)  0.01
Ga (0.0000, 0.5000, 0.1246)  0.00
Ga (0.5000, 0.5000, 0.2507)  0.01
Ga (0.5000, 0.0000, 0.6255)  0.02
Ga (0.0000, 0.5000, 0.6255)  0.02
Ga (0.0000, 0.5000, 0.8754)  0.00
Ga (0.5000, 0.5000, 0.7493)  0.01
Ga (0.0000, 0.5000, 0.3745)  0.02
Ga (0.5000, 0.0000, 0.3745)  0.02
Ga (0.5000, 0.0000, 0.1246)  0.00
Ga (0.5000, 0.5000, 0.0000)  -0.01
Ga (0.5000, 0.0000, 0.8754)  0.00
Tm (0.0000, 0.0000, 0.0000)  -0.03

=====

2.
## TiSb3Pt (PBE-GGA)

Data for crystalline TiSb3Pt at its relaxed geometry.

Results
As for the density of states at the Fermi level: 1.38 states/eV/atom. The uncorrected formation energy is 0.594 eV/atom. The value obtained for the polymorph energy (0 for the lowest one) is 0.0689 eV per atom. The total moment comes out at 1.69 Bohr magnetons per cell. The uncorrected energy is -4.67 eV/atom.

abc: 5.2384 5.2384 5.2384
angles: 90.00 90.00 90.00
Each line ends with the local moment (μB).
Positions (direct):
Ti (0.5000, 0.5000, 0.5000)  1.61
Pt (0.0000, 0.0000, 0.0000)  -0.06
Sb (0.0000, 0.5000, 0.0000)  -0.04
Sb (0.5000, 0.0000, 0.0000)  -0.05
Sb (0.0000, 0.0000, 0.5000)  -0.04

=====

Question: Number 2 is which compound?
Answer: TiSb3Pt